No. 1
## NiRhCl (GGA-PBE)

Data for an optimized crystal structure of NiRhCl.

Cell: 2.9214 2.9602 10.9388 Å, 90.00 90.00 90.00°
Space group Imm2 (No. 44)
Unique sites:
Ni1 0.0000 0.0000 0.0000
Rh1 0.0000 0.0000 0.6359
Cl1 0.0000 0.5000 0.3291

Summary:
- polymorph energy (0 for the lowest one) (eV per formula unit) = 0.03
- M_tot (μB/f.u.) = 2.07
- raw formation energy (meV/atom) = 288
- N(E_F) (states/eV/atom) = 1.43

=====

No. 2
## NiRhCl2 (GGA-PBE)

Data for an optimized crystal structure of NiRhCl2.

Cell: 4.4068 4.4068 3.1262 Å, 90.00 90.00 90.00°
Space group P4/mmm (No. 123)
Unique sites:
Ni1 0.0000 0.0000 0.0000
Rh1 0.5000 0.5000 0.0000
Cl1 0.0000 0.5000 0.5000

Summary:
- polymorph energy (0 for the lowest one) (eV per formula unit) = 2.58
- M_tot (μB/f.u.) = 1.39
- raw formation energy (meV/atom) = 496
- N(E_F) (states/eV/atom) = 1.60

=====

No. 3
## NiRhCl2 (GGA-PBE)

Data for an optimized crystal structure of NiRhCl2.

Cell: 3.5909 4.7317 7.8147 Å, 90.00 90.00 90.00°
Space group Amm2 (No. 38)
Unique sites:
Ni1 0.0000 0.0000 0.0000
Rh1 0.5000 0.0000 0.2261
Cl1 0.0000 0.0000 0.4522
Cl2 0.5000 0.0000 0.7914

Summary:
- polymorph energy (0 for the lowest one) (eV per formula unit) = 0.80
- M_tot (μB/f.u.) = 0.00
- raw formation energy (meV/atom) = 52
- N(E_F) (states/eV/atom) = 0.48